Below is an optimized crystal structure of Er3Cd3InGa2, with properties calculated at the PBE level.

Calculated values
* crystal system: hexagonal
* VASP energy: -29.4 eV for the cell shown
* magnetic moment: 0.00 Bohr magnetons per cell
* calculated density: 8.88 g/cm3
* SG: P-62m, No. 189

Geometry as CIF:
```
data_Er3Cd3InGa2
_chemical_formula_sum 'Er3 Cd3 In1 Ga2'
_cell_length_a 7.2721
_cell_length_b 7.2721
_cell_length_c 4.4631
_cell_angle_alpha 90.00
_cell_angle_beta 90.00
_cell_angle_gamma 120.00
_space_group_name_H-M_alt 'P 1'
_space_group_IT_number 1
loop_
_space_group_symop_operation_xyz
'x,y,z'
loop_
_atom_site_label
_atom_site_type_symbol
_atom_site_fract_x
_atom_site_fract_y
_atom_site_fract_z
Er1 Er 0.5629 0.0000 0.0000
Ga1 Ga 0.6667 0.3333 0.5000
In1 In 0.0000 0.0000 0.0000
Ga2 Ga 0.3333 0.6667 0.5000
Er2 Er 0.4371 0.4371 0.0000
Cd1 Cd 0.2560 0.0000 0.5000
Cd2 Cd 0.7440 0.7440 0.5000
Cd3 Cd 0.0000 0.2560 0.5000
Er3 Er 0.0000 0.5629 0.0000
```